Here is a geometry-optimized KVSbF6 structure from Alexandria. Energies are from PBE+U.

## Properties
* DFT total energy: -5.185 eV/atom

a b c (Å): 5.0898 5.6280 5.6981
angles (deg): 112.40 91.83 100.70
Closest atoms and distances in Å follow each position.
Space group P1 (No. 1)
Asymmetric unit:
K1 0.0000 0.0000 0.0000 [1 per cell]  6 F 2.64-2.93
V1 0.7017 0.3267 0.6248 [1 per cell]  6 F 2.05-2.17
Sb1 0.3791 0.6870 0.3915 [1 per cell]  5 F 2.06-2.23
F1 0.0425 0.5508 0.5350 [1 per cell]  1 Sb 2.07, 1 V 2.14
F2 0.3558 0.0617 0.6642 [1 per cell]  1 Sb 2.12, 1 V 2.16
F3 0.4634 0.2964 0.2914 [1 per cell]  1 V 2.15, 1 Sb 2.18
F4 0.5523 0.6851 0.7215 [1 per cell]  1 Sb 2.06, 1 V 2.17
F5 0.7811 0.9464 0.4322 [1 per cell]  1 V 2.12, 1 Sb 2.23
F6 0.9221 0.4395 0.9708 [1 per cell]  1 V 2.05